Entry from Alexandria: a relaxed structure of SrLiPr (PBE).

Properties
Its theoretical density is 3.51 Mg/m³. The value obtained for the formation energy is 186.0 meV/atom. The magnetization comes out at 0.00 μB/f.u. The final energy comes out at -2.61 eV per atom.

Cell: 3.808 3.808 8.864 Å, 90.00 90.00 120.00°
Fractional coordinates of all 3 atoms:
Sr  0.333  0.667  0.655
Li  0.667  0.333  0.322
Pr  0.000  0.000  0.023